1.
DFT (SCAN) results for a crystal of Ag2IrBr relaxed with PBEsol.

Summary:
raw formation energy = 0.7067 eV/atom
space group = P4mm (99)

Cell: 2.928 2.928 8.051 Å, 90.00 90.00 90.00°
Fractional positions:
1 Ag 0.000 0.000 0.000
2 Ag 0.500 0.500 0.241
3 Ir 0.500 0.500 0.764
4 Br 0.000 0.000 0.540

2.
DFT (SCAN) results for a crystal of Ta4Os5 relaxed with PBEsol.

Summary:
E_form = -2.6 eV per formula unit
space group = I4/mmm (139)

Cell: 6.288 6.288 6.288 Å, 95.62 95.62 143.52°
Fractional positions:
1 Ta 0.000 0.314 0.314
2 Ta 0.000 0.686 0.686
3 Ta 0.314 0.000 0.314
4 Ta 0.686 0.000 0.686
5 Os 0.000 0.000 0.000
6 Os 0.336 0.336 0.673
7 Os 0.336 0.664 0.000
8 Os 0.664 0.336 0.000
9 Os 0.664 0.664 0.327

3.
DFT (SCAN) results for a crystal of NiAg2Br relaxed with PBEsol.

Summary:
raw formation energy = 0.6312 eV/atom
space group = Fm-3m (225)

Cell: 4.588 4.588 4.588 Å, 60.00 60.00 60.00°
Fractional positions:
1 Ni 0.000 0.000 0.000
2 Ag 0.250 0.250 0.250
3 Ag 0.750 0.750 0.750
4 Br 0.500 0.500 0.500

4.
DFT (SCAN) results for a crystal of Cs2TaBPd relaxed with PBEsol.

Summary:
E_form = 9.8 eV per formula unit
space group = P4/mmm (123)

Cell: 6.609 6.609 4.753 Å, 90.00 90.00 90.00°
Fractional positions:
1 Cs 0.000 0.500 0.000
2 Cs 0.500 0.000 0.000
3 Ta 0.000 0.000 0.000
4 B 0.500 0.500 0.500
5 Pd 0.000 0.000 0.500

5.
DFT (SCAN) results for a crystal of As3RuW relaxed with PBEsol.

Summary:
E_form = 6.0 eV per formula unit
space group = Pm-3m (221)

Cell: 4.768 4.768 4.768 Å, 90.00 90.00 90.00°
Fractional positions:
1 As 0.000 0.000 0.500
2 As 0.000 0.500 0.000
3 As 0.500 0.000 0.000
4 Ru 0.500 0.500 0.500
5 W 0.000 0.000 0.000

6.
DFT (SCAN) results for a crystal of RhCl3 relaxed with PBEsol.

Summary:
raw formation energy = 0.7233 eV/atom
space group = Pm-3m (221)

Cell: 4.164 4.164 4.164 Å, 90.00 90.00 90.00°
Fractional positions:
1 Rh 0.000 0.000 0.000
2 Cl 0.000 0.500 0.500
3 Cl 0.500 0.000 0.500
4 Cl 0.500 0.500 0.000

| no. | total magnetization (μB per formula unit) | volume (Å³/atom) |
| --- | --- | --- |
| 1 | 0.00 | 17.3 |
| 2 | 0.00 | 15.6 |
| 3 | 0.65 | 17.1 |
| 4 | 4.49 | 41.5 |
| 5 | 2.39 | 21.7 |
| 6 | 4.01 | 18.0 |